No. 1
# CePr4Sm15 PBE relaxed
data_CePr4Sm15
_symmetry_space_group_name_H-M 'P 1'
_symmetry_Int_Tables_number 1
_cell_length_a 5.158
_cell_length_b 5.158
_cell_length_c 25.719
_cell_angle_alpha 90.00
_cell_angle_beta 90.00
_cell_angle_gamma 90.00
loop_
_symmetry_equiv_pos_as_xyz
'x,y,z'
loop_
_atom_site_label
_atom_site_fract_x
_atom_site_fract_y
_atom_site_fract_z
Ce1 0.000 0.000 0.000
Pr1 0.000 0.000 0.198
Pr2 0.000 0.000 0.400
Pr3 0.000 0.000 0.600
Pr4 0.000 0.000 0.802
Sm1 0.000 0.500 0.097
Sm2 0.000 0.500 0.299
Sm3 0.000 0.500 0.500
Sm4 0.000 0.500 0.701
Sm5 0.000 0.500 0.903
Sm6 0.500 0.000 0.097
Sm7 0.500 0.000 0.299
Sm8 0.500 0.000 0.500
Sm9 0.500 0.000 0.701
Sm10 0.500 0.000 0.903
Sm11 0.500 0.500 0.000
Sm12 0.500 0.500 0.199
Sm13 0.500 0.500 0.400
Sm14 0.500 0.500 0.600
Sm15 0.500 0.500 0.801
# Theoretical density   7.18 g cm⁻³
# ΔE_f   3 kJ/mol of atoms
# Volume   34.212 Å³/atom
# E_tot   -4.7641 eV/atom
# Size of the total moment   1.06 μB per formula unit

No. 2
# ZrCrCu PBE relaxed
data_ZrCrCu
_symmetry_space_group_name_H-M 'P 1'
_symmetry_Int_Tables_number 1
_cell_length_a 5.117
_cell_length_b 5.117
_cell_length_c 5.199
_cell_angle_alpha 91.36
_cell_angle_beta 91.36
_cell_angle_gamma 45.37
loop_
_symmetry_equiv_pos_as_xyz
'x,y,z'
loop_
_atom_site_label
_atom_site_fract_x
_atom_site_fract_y
_atom_site_fract_z
Zr1 0.000 0.000 0.000
Zr2 0.589 0.589 0.514
Cr1 0.287 0.287 0.244
Cr2 0.709 0.709 0.041
Cu1 0.292 0.292 0.750
Cu2 0.881 0.881 0.502
# Theoretical density   7.09 g cm⁻³
# ΔE_f   8 kJ/mol of atoms
# Volume   16.141 Å³/atom
# E_tot   -7.3375 eV/atom
# Size of the total moment   0.52 μB per formula unit
# Energy above the most stable polymorph in this dataset   0.045 eV per atom

No. 3
# Pm2ZnHg3 PBE relaxed
data_Pm2ZnHg3
_symmetry_space_group_name_H-M 'P 1'
_symmetry_Int_Tables_number 1
_cell_length_a 3.581
_cell_length_b 4.896
_cell_length_c 8.423
_cell_angle_alpha 90.00
_cell_angle_beta 90.00
_cell_angle_gamma 90.00
loop_
_symmetry_equiv_pos_as_xyz
'x,y,z'
loop_
_atom_site_label
_atom_site_fract_x
_atom_site_fract_y
_atom_site_fract_z
Pm1 0.000 0.000 0.000
Pm2 0.000 0.500 0.497
Zn1 0.500 0.000 0.325
Hg1 0.500 0.000 0.649
Hg2 0.500 0.500 0.178
Hg3 0.500 0.500 0.833
# Theoretical density   10.76 g cm⁻³
# ΔE_f   -40 kJ/mol of atoms
# Volume   24.611 Å³/atom
# E_tot   -2.3606 eV/atom
# Size of the total moment   0.00 μB per formula unit
# Energy above the most stable polymorph in this dataset   0.008 eV per atom

No. 4
# HfCrAgS4 PBE relaxed
data_HfCrAgS4
_symmetry_space_group_name_H-M 'P 1'
_symmetry_Int_Tables_number 1
_cell_length_a 6.148
_cell_length_b 7.154
_cell_length_c 14.191
_cell_angle_alpha 104.03
_cell_angle_beta 90.11
_cell_angle_gamma 90.05
loop_
_symmetry_equiv_pos_as_xyz
'x,y,z'
loop_
_atom_site_label
_atom_site_fract_x
_atom_site_fract_y
_atom_site_fract_z
Hf1 0.000 0.000 0.000
Hf2 0.038 0.509 0.994
Hf3 0.357 0.773 0.500
Hf4 0.848 0.056 0.495
Cr1 0.355 0.276 0.502
Cr2 0.515 0.757 0.001
Cr3 0.517 0.257 0.996
Cr4 0.861 0.529 0.502
Ag1 0.382 0.832 0.727
Ag2 0.550 0.370 0.228
Ag3 0.855 0.170 0.721
Ag4 0.998 0.615 0.222
S1 0.010 0.725 0.399
S2 0.037 0.251 0.400
S3 0.183 0.563 0.601
S4 0.191 0.304 0.103
S5 0.195 0.811 0.105
S6 0.196 0.086 0.604
S7 0.359 0.959 0.903
S8 0.374 0.458 0.897
S9 0.510 0.986 0.396
S10 0.534 0.467 0.404
S11 0.665 0.056 0.101
S12 0.675 0.552 0.096
S13 0.677 0.349 0.603
S14 0.703 0.824 0.603
S15 0.836 0.705 0.895
S16 0.840 0.207 0.895
# Theoretical density   5.12 g cm⁻³
# Raw formation energy   -630 kJ/mol of formula units
# Volume   21.626 Å³/atom
# E_tot   -6.4958 eV/atom
# Size of the total moment   3.00 μB per formula unit
# Energy above the most stable polymorph in this dataset   0.011 eV per atom

No. 5
# Pm3PbN PBE relaxed
data_Pm3PbN
_symmetry_space_group_name_H-M 'P 1'
_symmetry_Int_Tables_number 1
_cell_length_a 4.992
_cell_length_b 4.992
_cell_length_c 4.992
_cell_angle_alpha 90.00
_cell_angle_beta 90.00
_cell_angle_gamma 90.00
loop_
_symmetry_equiv_pos_as_xyz
'x,y,z'
loop_
_atom_site_label
_atom_site_fract_x
_atom_site_fract_y
_atom_site_fract_z
Pm1 0.000 0.000 0.500
Pm2 0.000 0.500 0.000
Pm3 0.500 0.000 0.000
Pb1 0.500 0.500 0.500
N1 0.000 0.000 0.000
# Theoretical density   8.76 g cm⁻³
# Raw formation energy   -437 kJ/mol of formula units
# Volume   24.885 Å³/atom
# E_tot   -6.1634 eV/atom
# Size of the total moment   0.00 μB per formula unit

No. 6
# Y3MgAl2 PBE relaxed
data_Y3MgAl2
_symmetry_space_group_name_H-M 'P 1'
_symmetry_Int_Tables_number 1
_cell_length_a 5.175
_cell_length_b 5.175
_cell_length_c 12.660
_cell_angle_alpha 90.00
_cell_angle_beta 90.00
_cell_angle_gamma 120.00
loop_
_symmetry_equiv_pos_as_xyz
'x,y,z'
loop_
_atom_site_label
_atom_site_fract_x
_atom_site_fract_y
_atom_site_fract_z
Y1 0.000 0.000 0.244
Y2 0.000 0.000 0.756
Y3 0.333 0.667 0.417
Y4 0.333 0.667 0.922
Y5 0.667 0.333 0.078
Y6 0.667 0.333 0.583
Mg1 0.333 0.667 0.670
Mg2 0.667 0.333 0.330
Al1 0.000 0.000 0.000
Al2 0.000 0.000 0.500
Al3 0.333 0.667 0.174
Al4 0.667 0.333 0.826
# Theoretical density   3.90 g cm⁻³
# ΔE_f   -33 kJ/mol of atoms
# Volume   24.473 Å³/atom
# E_tot   -5.0908 eV/atom
# Size of the total moment   0.00 μB per formula unit

> The lowest theoretical density belongs to which entry?

Y3MgAl2

> What is the size of the total moment in the fifth record?

0.00 μB per formula unit

> Which value of E_tot does entry 5 give?

-6.1634 eV/atom

> Which formula does entry 2 have?

ZrCrCu